Below is Na2CdO after structural relaxation, with properties calculated at the PBE-GGA level.

**Formation energy without anion corrections**: -0.623 eV/atom
**Fermi-level density of states**: 0.0 states/eV per cell
**VASP energy**: -0.2022 Ry/atom
**Total magnetic moment**: 0.00 μB per cell

Cell: 7.0316 7.0316 9.7248 Å, 90.00 90.00 90.00°
Last column: nearest neighbours and their distance in Å.
Space group I-42d (No. 122)
Inequivalent atoms, fractional coordinates:
Na  0.0384  0.2500  0.1250 (multiplicity 8)  2 O 2.15
Cd  0.0000  0.0000  0.5000 (multiplicity 4)  12 Na 3.89-4.35, 4 Cd 4.27, 4 O 4.27
O  0.0000  0.0000  0.0000 (multiplicity 4)  4 Na 2.15